Er2PdPb after structural relaxation. Source: Alexandria, functional GGA-PBE.

Properties
SG: Fmmm
energy relative to the elements: -0.603 eV per atom

Unit cell a=7.0529 b=6.3369 c=6.3297 alpha=67.67 beta=56.21 gamma=56.12
Closest atoms and distances in Å follow each position.
Fractional coordinates of all 8 atoms:
Er  0.2296  0.7704  0.7704  4 Pd 3.07-3.29, 4 Pb 3.12-3.23
Er  0.2500  0.2500  0.2500  4 Pb 3.17, 4 Pd 3.18, 4 Er 3.53
Er  0.7500  0.7500  0.7500  4 Pb 3.17, 4 Pd 3.18, 4 Er 3.53
Er  0.7704  0.2296  0.2296  4 Pd 3.07-3.29, 4 Pb 3.12-3.23
Pd  0.2760  0.2760  0.7240  8 Er 3.07-3.29, 2 Pb 3.20
Pd  0.7240  0.7240  0.2760  8 Er 3.07-3.29, 2 Pb 3.20
Pb  0.2699  0.7301  0.2699  8 Er 3.12-3.23, 2 Pd 3.20
Pb  0.7301  0.2699  0.7301  8 Er 3.12-3.23, 2 Pd 3.20


ErPd15Pb4 after structural relaxation. Source: Alexandria, functional GGA-PBE.

Properties
SG: P4/mmm
energy relative to the elements: -0.414 eV per atom

Unit cell a=4.1087 b=4.1087 c=20.5516 alpha=90.00 beta=90.00 gamma=90.00
Closest atoms and distances in Å follow each position.
Fractional coordinates of all 20 atoms:
Er  0.0000  0.0000  0.0000  12 Pd 2.90-2.91
Pd  0.0000  0.5000  0.0997  2 Er 2.90, 8 Pd 2.90-2.92, 2 Pb 2.91
Pd  0.0000  0.5000  0.2998  8 Pd 2.90-2.91, 4 Pb 2.91
Pd  0.0000  0.5000  0.5000  8 Pd 2.91, 4 Pb 2.91
Pd  0.0000  0.5000  0.7002  8 Pd 2.90-2.91, 4 Pb 2.91
Pd  0.0000  0.5000  0.9003  2 Er 2.90, 8 Pd 2.90-2.92, 2 Pb 2.91
Pd  0.5000  0.0000  0.0997  2 Er 2.90, 8 Pd 2.90-2.92, 2 Pb 2.91
Pd  0.5000  0.0000  0.2998  8 Pd 2.90-2.91, 4 Pb 2.91
Pd  0.5000  0.0000  0.5000  8 Pd 2.91, 4 Pb 2.91
Pd  0.5000  0.0000  0.7002  8 Pd 2.90-2.91, 4 Pb 2.91
Pd  0.5000  0.0000  0.9003  2 Er 2.90, 8 Pd 2.90-2.92, 2 Pb 2.91
Pd  0.5000  0.5000  0.0000  8 Pd 2.90, 4 Er 2.91
Pd  0.5000  0.5000  0.2003  8 Pd 2.90-2.92, 4 Pb 2.91
Pd  0.5000  0.5000  0.3999  4 Pb 2.91, 8 Pd 2.91
Pd  0.5000  0.5000  0.6001  4 Pb 2.91, 8 Pd 2.91
Pd  0.5000  0.5000  0.7997  8 Pd 2.90-2.92, 4 Pb 2.91
Pb  0.0000  0.0000  0.1998  12 Pd 2.91
Pb  0.0000  0.0000  0.4000  12 Pd 2.91
Pb  0.0000  0.0000  0.6000  12 Pd 2.91
Pb  0.0000  0.0000  0.8002  12 Pd 2.91


ErPdPb2 after structural relaxation. Source: Alexandria, functional GGA-PBE.

Properties
SG: P4/mmm
energy relative to the elements: -0.365 eV per atom

Unit cell a=4.6347 b=4.6347 c=4.4664 alpha=90.00 beta=90.00 gamma=90.00
Closest atoms and distances in Å follow each position.
Fractional coordinates of all 4 atoms:
Er  0.0000  0.0000  0.0000  8 Pb 3.22, 4 Pd 3.28
Pd  0.5000  0.5000  0.0000  8 Pb 3.22, 4 Er 3.28
Pb  0.0000  0.5000  0.5000  4 Er 3.22, 4 Pd 3.22, 4 Pb 3.28
Pb  0.5000  0.0000  0.5000  4 Er 3.22, 4 Pd 3.22, 4 Pb 3.28


ErPd6Pb after structural relaxation. Source: Alexandria, functional GGA-PBE.

Properties
SG: P4/mmm
energy relative to the elements: -0.600 eV per atom

Unit cell a=4.1137 b=4.1137 c=8.1876 alpha=90.00 beta=90.00 gamma=90.00
Closest atoms and distances in Å follow each position.
Fractional coordinates of all 8 atoms:
Er  0.0000  0.0000  0.0000  12 Pd 2.90-2.91
Pd  0.0000  0.5000  0.2498  2 Er 2.90, 8 Pd 2.90-2.91, 2 Pb 2.90
Pd  0.0000  0.5000  0.7502  2 Er 2.90, 8 Pd 2.90-2.91, 2 Pb 2.90
Pd  0.5000  0.0000  0.2498  2 Er 2.90, 8 Pd 2.90-2.91, 2 Pb 2.90
Pd  0.5000  0.0000  0.7502  2 Er 2.90, 8 Pd 2.90-2.91, 2 Pb 2.90
Pd  0.5000  0.5000  0.0000  8 Pd 2.90, 4 Er 2.91
Pd  0.5000  0.5000  0.5000  8 Pd 2.90, 4 Pb 2.91
Pb  0.0000  0.0000  0.5000  12 Pd 2.90-2.91


Er7PdPb4 after structural relaxation. Source: Alexandria, functional GGA-PBE.

Properties
SG: C2/m
energy relative to the elements: -0.258 eV per atom

Unit cell a=8.2223 b=8.2223 c=11.2386 alpha=126.40 beta=126.40 gamma=37.88
Closest atoms and distances in Å follow each position.
Fractional coordinates of all 12 atoms:
Er  0.0000  0.0000  0.0000  2 Pd 2.67
Er  0.1441  0.1441  0.5668  5 Pb 3.13-3.41
Er  0.2872  0.2872  0.1355  4 Pb 3.07-3.19
Er  0.4226  0.4226  0.7053  1 Pd 2.72
Er  0.5774  0.5774  0.2947  1 Pd 2.72
Er  0.7128  0.7128  0.8645  4 Pb 3.07-3.19
Er  0.8559  0.8559  0.4332  5 Pb 3.13-3.41
Pd  0.5000  0.5000  0.0000  4 Er 2.67-2.72
Pb  0.0782  0.0782  0.7806  8 Er 3.15-3.36
Pb  0.2228  0.2228  0.3443  8 Er 3.07-3.41
Pb  0.7772  0.7772  0.6557  8 Er 3.07-3.41
Pb  0.9218  0.9218  0.2194  8 Er 3.15-3.36


Er4Pd2Pb after structural relaxation. Source: Alexandria, functional GGA-PBE.

Properties
SG: R-3m
energy relative to the elements: -0.537 eV per atom

Unit cell a=10.5987 b=10.5987 c=10.5987 alpha=25.20 beta=25.20 gamma=25.20
Closest atoms and distances in Å follow each position.
Fractional coordinates of all 7 atoms:
Er  0.1136  0.1136  0.1136  3 Pd 3.06, 3 Pb 3.13
Er  0.2993  0.2993  0.2993  4 Pd 2.83-3.04
Er  0.7007  0.7007  0.7007  4 Pd 2.83-3.04
Er  0.8864  0.8864  0.8864  3 Pd 3.06, 3 Pb 3.13
Pd  0.3980  0.3980  0.3980  7 Er 2.83-3.06, 1 Pb 3.14
Pd  0.6020  0.6020  0.6020  7 Er 2.83-3.06, 1 Pb 3.14
Pb  0.5000  0.5000  0.5000  6 Er 3.13, 2 Pd 3.14


Er5Pd2Pb2 after structural relaxation. Source: Alexandria, functional GGA-PBE.

Properties
SG: Cmce
energy relative to the elements: -0.638 eV per atom

Unit cell a=8.7900 b=8.7900 c=7.2935 alpha=90.00 beta=90.00 gamma=57.66
Closest atoms and distances in Å follow each position.
Fractional coordinates of all 18 atoms:
Er  0.0000  0.0000  0.0000  2 Pd 2.86
Er  0.0585  0.7000  0.6513  3 Pd 2.84-3.18, 1 Pb 3.17
Er  0.2000  0.5585  0.1513  3 Pd 2.84-3.18, 1 Pb 3.17
Er  0.3000  0.9415  0.6513  3 Pd 2.84-3.18, 1 Pb 3.17
Er  0.4415  0.8000  0.1513  3 Pd 2.84-3.18, 1 Pb 3.17
Er  0.5000  0.5000  0.5000  2 Pd 2.86
Er  0.5585  0.2000  0.8487  3 Pd 2.84-3.18, 1 Pb 3.17
Er  0.7000  0.0585  0.3487  3 Pd 2.84-3.18, 1 Pb 3.17
Er  0.8000  0.4415  0.8487  3 Pd 2.84-3.18, 1 Pb 3.17
Er  0.9415  0.3000  0.3487  3 Pd 2.84-3.18, 1 Pb 3.17
Pd  0.1250  0.8750  0.3637  7 Er 2.84-3.18, 1 Pd 2.91
Pd  0.3750  0.6250  0.8637  7 Er 2.84-3.18, 1 Pd 2.91
Pd  0.6250  0.3750  0.1363  7 Er 2.84-3.18, 1 Pd 2.91
Pd  0.8750  0.1250  0.6363  7 Er 2.84-3.18, 1 Pd 2.91
Pb  0.2136  0.2136  0.0000  7 Er 3.17-3.29
Pb  0.2864  0.2864  0.5000  7 Er 3.17-3.29
Pb  0.7136  0.7136  0.5000  7 Er 3.17-3.29
Pb  0.7864  0.7864  0.0000  7 Er 3.17-3.29


ErPd6Pb after structural relaxation. Source: Alexandria, functional GGA-PBE.

Properties
SG: C2/m
energy relative to the elements: -0.280 eV per atom

Unit cell a=4.9639 b=4.9639 c=7.3123 alpha=104.92 beta=104.92 gamma=67.53
Closest atoms and distances in Å follow each position.
Fractional coordinates of all 8 atoms:
Er  0.0000  0.0000  0.0000  10 Pd 2.83-3.03
Pd  0.0369  0.5580  0.1992  5 Pd 2.64-2.88, 1 Pb 2.72, 2 Er 2.83-2.86
Pd  0.1412  0.1412  0.4349  5 Pd 2.78-2.88, 3 Pb 2.85-3.09, 1 Er 3.03
Pd  0.4420  0.9631  0.8008  5 Pd 2.64-2.88, 1 Pb 2.72, 2 Er 2.83-2.86
Pd  0.5580  0.0369  0.1992  5 Pd 2.64-2.88, 1 Pb 2.72, 2 Er 2.83-2.86
Pd  0.8588  0.8588  0.5651  5 Pd 2.78-2.88, 3 Pb 2.85-3.09, 1 Er 3.03
Pd  0.9631  0.4420  0.8008  5 Pd 2.64-2.88, 1 Pb 2.72, 2 Er 2.83-2.86
Pb  0.5000  0.5000  0.5000  6 Pd 2.72-2.85


ErPd14Pb after structural relaxation. Source: Alexandria, functional GGA-PBE.

Properties
SG: P4/mmm
energy relative to the elements: -0.270 eV per atom

Unit cell a=5.7476 b=5.7476 c=7.9176 alpha=90.00 beta=90.00 gamma=90.00
Closest atoms and distances in Å follow each position.
Fractional coordinates of all 16 atoms:
Er  0.0000  0.0000  0.0000  12 Pd 2.87
Pd  0.0000  0.0000  0.5000  12 Pd 2.80-2.87
Pd  0.0000  0.5000  0.0000  2 Pb 2.87, 2 Er 2.87, 8 Pd 2.87
Pd  0.0000  0.5000  0.5000  12 Pd 2.80-2.87
Pd  0.2494  0.2494  0.2568  10 Pd 2.80-2.88, 1 Er 2.87, 1 Pb 2.88
Pd  0.2494  0.2494  0.7432  10 Pd 2.80-2.88, 1 Er 2.87, 1 Pb 2.88
Pd  0.2494  0.7506  0.2568  10 Pd 2.80-2.88, 1 Er 2.87, 1 Pb 2.88
Pd  0.2494  0.7506  0.7432  10 Pd 2.80-2.88, 1 Er 2.87, 1 Pb 2.88
Pd  0.5000  0.0000  0.0000  2 Pb 2.87, 2 Er 2.87, 8 Pd 2.87
Pd  0.5000  0.0000  0.5000  12 Pd 2.80-2.87
Pd  0.5000  0.5000  0.5000  12 Pd 2.80-2.87
Pd  0.7506  0.2494  0.2568  10 Pd 2.80-2.88, 1 Er 2.87, 1 Pb 2.88
Pd  0.7506  0.2494  0.7432  10 Pd 2.80-2.88, 1 Er 2.87, 1 Pb 2.88
Pd  0.7506  0.7506  0.2568  10 Pd 2.80-2.88, 1 Er 2.87, 1 Pb 2.88
Pd  0.7506  0.7506  0.7432  10 Pd 2.80-2.88, 1 Er 2.87, 1 Pb 2.88
Pb  0.5000  0.5000  0.0000  12 Pd 2.87-2.88


Er2Pd7Pb after structural relaxation. Source: Alexandria, functional GGA-PBE.

Properties
SG: Cmmm
energy relative to the elements: -0.176 eV per atom

Unit cell a=8.2838 b=8.2838 c=4.1479 alpha=90.00 beta=90.00 gamma=127.57
Closest atoms and distances in Å follow each position.
Fractional coordinates of all 10 atoms:
Er  0.1942  0.8058  0.0000  5 Pd 2.69-2.89
Er  0.8058  0.1942  0.0000  5 Pd 2.69-2.89
Pd  0.0000  0.0000  0.0000  4 Pd 2.74, 2 Er 2.89
Pd  0.2135  0.4138  0.0000  1 Er 2.69, 5 Pd 2.73-2.98, 2 Pb 2.89
Pd  0.3113  0.6887  0.5000  2 Er 2.71, 1 Pb 2.80, 4 Pd 2.81
Pd  0.4138  0.2135  0.0000  1 Er 2.69, 5 Pd 2.73-2.98, 2 Pb 2.89
Pd  0.5862  0.7865  0.0000  1 Er 2.69, 5 Pd 2.73-2.98, 2 Pb 2.89
Pd  0.6887  0.3113  0.5000  2 Er 2.71, 1 Pb 2.80, 4 Pd 2.81
Pd  0.7865  0.5862  0.0000  1 Er 2.69, 5 Pd 2.73-2.98, 2 Pb 2.89
Pb  0.5000  0.5000  0.5000  10 Pd 2.80-2.89


Er2Pd4Pb after structural relaxation. Source: Alexandria, functional GGA-PBE.

Properties
SG: R-3m
energy relative to the elements: -0.549 eV per atom

Unit cell a=8.2220 b=8.2220 c=8.2220 alpha=33.37 beta=33.37 gamma=33.37
Closest atoms and distances in Å follow each position.
Fractional coordinates of all 7 atoms:
Er  0.2453  0.2453  0.2453  7 Pd 2.77-2.89
Er  0.7547  0.7547  0.7547  7 Pd 2.77-2.89
Pd  0.1261  0.1261  0.1261  4 Er 2.77-2.87, 1 Pb 2.93
Pd  0.3798  0.3798  0.3798  4 Er 2.89-3.13, 3 Pb 2.93
Pd  0.6202  0.6202  0.6202  4 Er 2.89-3.13, 3 Pb 2.93
Pd  0.8739  0.8739  0.8739  4 Er 2.77-2.87, 1 Pb 2.93
Pb  0.0000  0.0000  0.0000  8 Pd 2.93


| no. | magnetic moment (μB/cell) | final energy (eV/atom) |
| --- | --- | --- |
| 1 | 0.000 | -5.109 |
| 2 | 0.000 | -5.278 |
| 3 | 0.000 | -4.658 |
| 4 | 0.000 | -5.529 |
| 5 | 0.719 | -4.588 |
| 6 | 0.000 | -5.158 |
| 7 | 0.000 | -5.151 |
| 8 | 0.000 | -5.209 |
| 9 | 0.000 | -5.330 |
| 10 | 0.000 | -5.094 |
| 11 | 0.000 | -5.350 |